Below is a geometry-optimized MnHBr2 structure, with properties calculated at the PBE level.

Lattice parameters (Å, degrees): 3.8238 3.8238 20.7746 90.00 90.00 120.00
Fractional coordinates of all 12 atoms:
Mn (0.0000, 0.0000, 0.0000)
Mn (0.3333, 0.6667, 0.6667)
Mn (0.6667, 0.3333, 0.3333)
H (0.0000, 0.0000, 0.5000)
H (0.3333, 0.6667, 0.1667)
H (0.6667, 0.3333, 0.8333)
Br (0.0000, 0.0000, 0.4096)
Br (0.0000, 0.0000, 0.5904)
Br (0.3333, 0.6667, 0.0763)
Br (0.3333, 0.6667, 0.2571)
Br (0.6667, 0.3333, 0.7429)
Br (0.6667, 0.3333, 0.9237)

Crystal system: trigonal
D(E_F) (states/eV per cell): 1.20
Energy (eV per atom): -3.97
SG: R-3m, No. 166